VASP calculation (PBE) on a geometry-optimized KIn4Pt2 structure.

CIF file:
```
data_KIn4Pt2
_chemical_formula_sum 'K4 In16 Pt8'
_symmetry_space_group_name_H-M 'P n m a'
_symmetry_Int_Tables_number 62
_cell_length_a 18.814
_cell_length_b 4.700
_cell_length_c 7.318
_cell_angle_alpha 90.00
_cell_angle_beta 90.00
_cell_angle_gamma 90.00
loop_
_symmetry_equiv_pos_as_xyz
'x,y,z'
'-x,-y,-z'
'-x+1/2,-y,z+1/2'
'x+1/2,y,-z+1/2'
'x+1/2,-y+1/2,-z+1/2'
'-x+1/2,y+1/2,z+1/2'
'-x,y+1/2,-z'
'x,-y+1/2,z'
loop_
_atom_site_label
_atom_site_type_symbol
_atom_site_fract_x
_atom_site_fract_y
_atom_site_fract_z
_atom_site_occupancy
K1 K 0.142 0.250 0.019 1
In1 In 0.034 0.750 0.857 1
In2 In 0.070 0.250 0.487 1
In3 In 0.185 0.750 0.315 1
In4 In 0.192 0.750 0.733 1
Pt1 Pt 0.037 0.750 0.255 1
Pt2 Pt 0.215 0.250 0.528 1
```

Properties
M_tot (μB/atom): 0.000
DOS(E_F) (states/eV/cell): 12.7
Energy relative to the elements (eV/atom): -0.378